1.
VASP calculation (PBEsol) on ZrSc3Pt after structural relaxation.

Properties
Magnetic moment (μB per formula unit): 0.00
Energy (eV/atom): -6.38
Energy of formation (meV/atom): 797
Crystal system: cubic

Unit cell a=4.819 b=4.819 c=4.819 alpha=90.00 beta=90.00 gamma=90.00
Space group Pm-3m (No. 221)
Unique sites:
Zr 0.000 0.000 0.000 x1
Sc 0.000 0.000 0.500 x3
Pt 0.500 0.500 0.500 x1

***

2.
VASP calculation (PBEsol) on GaSb2PdI after structural relaxation.

Properties
Magnetic moment (μB per formula unit): 0.25
Energy (eV/atom): -3.70
Formation energy from raw total energies (eV/atom): 0.33
Crystal system: tetragonal

Unit cell a=5.111 b=5.111 c=5.701 alpha=90.00 beta=90.00 gamma=90.00
Space group P4/mmm (No. 123)
Unique sites:
Ga 0.000 0.000 0.000 x1
Sb 0.000 0.500 0.500 x2
Pd 0.500 0.500 0.500 x1
I 0.500 0.500 0.000 x1

***

3.
VASP calculation (PBEsol) on Hf5ScSi4 after structural relaxation.

Properties
Magnetic moment (μB per formula unit): 0.00
Energy (eV/atom): -9.05
Formation energy from raw total energies (eV/atom): -0.84
Crystal system: tetragonal

Unit cell a=6.980 b=6.980 c=3.621 alpha=90.00 beta=90.00 gamma=90.00
Space group P4/m (No. 83)
Unique sites:
Hf 0.000 0.000 0.000 x1
Hf 0.170 0.323 0.500 x4
Sc 0.500 0.500 0.000 x1
Si 0.124 0.623 0.000 x4

***

4.
VASP calculation (PBEsol) on Tl2TePb after structural relaxation.

Properties
Magnetic moment (μB per formula unit): 0.00
Energy (eV/atom): -3.32
Formation energy from raw total energies (eV/atom): -0.12
Crystal system: tetragonal
Energy above the most stable polymorph in this dataset (eV per atom): 0.011

Unit cell a=4.665 b=4.665 c=5.485 alpha=90.00 beta=90.00 gamma=90.00
Space group P4/mmm (No. 123)
Unique sites:
Tl 0.000 0.500 0.000 x2
Te 0.000 0.000 0.500 x1
Pb 0.500 0.500 0.500 x1

***

5.
VASP calculation (PBEsol) on Zr5Cu after structural relaxation.

Properties
Magnetic moment (μB per formula unit): 0.00
Energy (eV/atom): -8.30
Energy of formation (meV/atom): -7
Crystal system: monoclinic

Unit cell a=10.839 b=3.166 c=7.618 alpha=90.00 beta=109.57 gamma=90.00
Space group Cm (No. 8)
Unique sites:
Zr 0.000 0.000 0.000 x2
Zr 0.018 0.000 0.411 x2
Zr 0.160 0.500 0.780 x2
Zr 0.223 0.500 0.279 x2
Zr 0.357 0.000 0.641 x2
Cu 0.315 0.000 0.060 x2

***

6.
VASP calculation (PBEsol) on CoC3 after structural relaxation.

Properties
Magnetic moment (μB per formula unit): 0.37
Energy (eV/atom): -7.92
Energy of formation (meV/atom): 1250
Crystal system: monoclinic
Energy above the most stable polymorph in this dataset (eV per atom): 0.000

Unit cell a=3.261 b=2.431 c=4.062 alpha=90.00 beta=109.31 gamma=90.00
Space group P2/m (No. 10)
Unique sites:
Co 0.000 0.000 0.000 x1
C 0.000 0.000 0.500 x1
C 0.266 0.500 0.403 x2

***

Which value of energy does entry 4 give? -3.32 eV/atom